No. 1
Crystalline Si2RuAu at its relaxed geometry, computed with GGA-PBEsol.

Lattice parameters (Å, degrees): 4.3059 4.3059 4.3059 60.00 60.00 60.00
Sites, in units of the cell vectors:
Si1 0.2500 0.2500 0.2500
Si2 0.7500 0.7500 0.7500
Ru1 0.0000 0.0000 0.0000
Au1 0.5000 0.5000 0.5000

Summary:
Formation energy from raw total energies   122 meV/atom
Final energy   -6.28 eV/atom
Polymorph energy (0 for the lowest one)   392 meV per atom
Space group   Fm-3m
Fermi-level density of states   0.899 states/eV per atom

***

No. 2
Crystalline Tb6Br7 at its relaxed geometry, computed with GGA-PBEsol.

Lattice parameters (Å, degrees): 10.5197 10.5197 11.4890 122.40 122.40 20.22
Sites, in units of the cell vectors:
Tb1 0.1280 0.1280 0.0584
Tb2 0.2260 0.2260 0.6445
Tb3 0.3189 0.3189 0.1419
Tb4 0.6811 0.6811 0.8581
Tb5 0.7740 0.7740 0.3555
Tb6 0.8720 0.8720 0.9416
Br1 0.0507 0.0507 0.7693
Br2 0.1614 0.1614 0.3415
Br3 0.3964 0.3964 0.4451
Br4 0.5000 0.5000 0.0000
Br5 0.6036 0.6036 0.5549
Br6 0.8386 0.8386 0.6585
Br7 0.9493 0.9493 0.2307

Summary:
Formation energy from raw total energies   -1304 meV/atom
Final energy   -4.62 eV/atom
Space group   C2/m
Fermi-level density of states   0.634 states/eV per atom

***

No. 3
Crystalline PdRhF2 at its relaxed geometry, computed with GGA-PBEsol.

Lattice parameters (Å, degrees): 4.0842 4.0842 4.0842 60.00 60.00 60.00
Sites, in units of the cell vectors:
Pd1 0.0000 0.0000 0.0000
Rh1 0.5000 0.5000 0.5000
F1 0.2500 0.2500 0.2500
F2 0.7500 0.7500 0.7500

Summary:
Formation energy from raw total energies   -24 meV/atom
Final energy   -4.51 eV/atom
Polymorph energy (0 for the lowest one)   442 meV per atom
Space group   Fm-3m
Fermi-level density of states   1.177 states/eV per atom

***

No. 4
Crystalline CsSICl2 at its relaxed geometry, computed with GGA-PBEsol.

Lattice parameters (Å, degrees): 5.6066 5.6066 5.0915 90.00 90.00 90.00
Sites, in units of the cell vectors:
Cs1 0.0000 0.0000 0.0000
S1 0.5000 0.5000 0.0000
I1 0.5000 0.5000 0.5000
Cl1 0.0000 0.5000 0.5000
Cl2 0.5000 0.0000 0.5000

Summary:
Formation energy from raw total energies   -571 meV/atom
Final energy   -2.79 eV/atom
Polymorph energy (0 for the lowest one)   0 meV per atom
Space group   P4/mmm
Fermi-level density of states   0.341 states/eV per atom

***

No. 5
Crystalline SrIn2Os at its relaxed geometry, computed with GGA-PBEsol.

Lattice parameters (Å, degrees): 3.5350 3.5350 7.5581 90.00 90.00 90.00
Sites, in units of the cell vectors:
Sr1 0.0000 0.0000 0.0000
In1 0.0000 0.0000 0.5809
In2 0.5000 0.5000 0.3364
Os1 0.5000 0.5000 0.7208

Summary:
Energy of formation   0.25 eV per atom
Final energy   -4.76 eV/atom
Space group   P4mm
Fermi-level density of states   0.534 states/eV per atom

***

No. 6
Crystalline KBa2Sr at its relaxed geometry, computed with GGA-PBEsol.

Lattice parameters (Å, degrees): 8.1535 8.1535 4.2237 99.94 99.94 116.94
Sites, in units of the cell vectors:
K1 0.0000 0.0000 0.0000
Ba1 0.0000 0.5000 0.5000
Ba2 0.5000 0.0000 0.5000
Sr1 0.5000 0.5000 0.0000

Summary:
Energy of formation   0.09 eV per atom
Final energy   -1.73 eV/atom
Polymorph energy (0 for the lowest one)   37 meV per atom
Space group   C2/m
Fermi-level density of states   1.408 states/eV per atom

***

No. 7
Crystalline LaCeN2 at its relaxed geometry, computed with GGA-PBEsol.

Lattice parameters (Å, degrees): 6.2687 6.2687 6.2687 33.36 33.36 33.36
Sites, in units of the cell vectors:
La1 0.0000 0.0000 0.0000
Ce1 0.5000 0.5000 0.5000
N1 0.2414 0.2414 0.2414
N2 0.7586 0.7586 0.7586

Summary:
Formation energy from raw total energies   -1533 meV/atom
Final energy   -8.78 eV/atom
Space group   R-3m
Fermi-level density of states   0.592 states/eV per atom

***

No. 8
Crystalline SbTePt2 at its relaxed geometry, computed with GGA-PBEsol.

Lattice parameters (Å, degrees): 6.6806 6.6806 6.6806 33.85 33.85 33.85
Sites, in units of the cell vectors:
Sb1 0.0000 0.0000 0.0000
Te1 0.5000 0.5000 0.5000
Pt1 0.2525 0.2525 0.2525
Pt2 0.7475 0.7475 0.7475

Summary:
Formation energy from raw total energies   -225 meV/atom
Final energy   -5.73 eV/atom
Space group   R-3m
Fermi-level density of states   0.547 states/eV per atom

***

No. 9
Crystalline LiAgAs at its relaxed geometry, computed with GGA-PBEsol.

Lattice parameters (Å, degrees): 4.6786 4.6786 4.6786 141.49 130.00 64.83
Sites, in units of the cell vectors:
Li1 0.0000 0.0000 0.0000
Ag1 0.3356 0.3356 0.0000
As1 0.6695 0.6695 0.0000

Summary:
Energy of formation   -0.27 eV per atom
Final energy   -3.73 eV/atom
Polymorph energy (0 for the lowest one)   22 meV per atom
Space group   Imm2
Fermi-level density of states   0.196 states/eV per atom

***

No. 10
Crystalline BaNiCl2 at its relaxed geometry, computed with GGA-PBEsol.

Lattice parameters (Å, degrees): 5.2923 5.2923 5.2923 138.40 115.62 79.62
Sites, in units of the cell vectors:
Ba1 0.0000 0.0000 0.0000
Ni1 0.5000 0.5000 0.0000
Cl1 0.3169 0.8169 0.5000
Cl2 0.6831 0.1831 0.5000

Summary:
Formation energy from raw total energies   -1075 meV/atom
Final energy   -4.16 eV/atom
Space group   Immm
Fermi-level density of states   0.883 states/eV per atom

***

No. 11
Crystalline HgP2PdO7 at its relaxed geometry, computed with GGA-PBEsol.

Lattice parameters (Å, degrees): 7.5520 7.5520 8.8617 100.76 100.76 38.40
Sites, in units of the cell vectors:
Hg1 0.0000 0.5000 0.0000
Hg2 0.5000 0.0000 0.5000
P1 0.0417 0.7559 0.7246
P2 0.2441 0.9583 0.7754
P3 0.7559 0.0417 0.2246
P4 0.9583 0.2441 0.2754
Pd1 0.5000 0.5000 0.0000
Pd2 0.5000 0.5000 0.5000
O1 0.0144 0.9856 0.2500
O2 0.1121 0.2486 0.7984
O3 0.1753 0.6153 0.8793
O4 0.2274 0.5602 0.5874
O5 0.2486 0.1121 0.2984
O6 0.3847 0.8247 0.6207
O7 0.4398 0.7726 0.9126
O8 0.5602 0.2274 0.0874
O9 0.6153 0.1753 0.3793
O10 0.7514 0.8879 0.7016
O11 0.7726 0.4398 0.4126
O12 0.8247 0.3847 0.1207
O13 0.8879 0.7514 0.2016
O14 0.9856 0.0144 0.7500

Summary:
Formation energy from raw total energies   -1520 meV/atom
Final energy   -6.51 eV/atom
Space group   C2/c

***

No. 12
Crystalline LiNiBi3 at its relaxed geometry, computed with GGA-PBEsol.

Lattice parameters (Å, degrees): 4.9731 4.9731 4.9731 90.00 90.00 90.00
Sites, in units of the cell vectors:
Li1 0.0000 0.0000 0.0000
Ni1 0.5000 0.5000 0.5000
Bi1 0.0000 0.0000 0.5000
Bi2 0.0000 0.5000 0.0000
Bi3 0.5000 0.0000 0.0000

Summary:
Energy of formation   0.65 eV per atom
Final energy   -3.55 eV/atom
Space group   Pm-3m
Fermi-level density of states   0.521 states/eV per atom